(1)
Sc2TlAg | the Alexandria database | PBE-GGA | relaxed; DOS(E_F) = 4.612 states/eV per cell; total magnetic moment = 0.0 μB/f.u.
1.0
-1.917 -6.369 8.560
-2.966 -8.387 6.194
0.219 -8.293 6.978
Sc Tl Ag
2 1 1
direct
0.905 0.905 0.905
0.095 0.095 0.095
0.000 0.000 0.000
0.500 0.500 0.500

---

(2)
Sc2TlAg | the Alexandria database | PBE-GGA | relaxed; DOS(E_F) = 3.681 states/eV per cell; total magnetic moment = 0.8 μB/f.u.
1.0
-0.315 -1.943 3.144
2.456 -2.467 -1.278
4.840 3.460 2.623
Ag Sc Tl
1 2 1
direct
0.500 0.500 0.764
0.000 0.000 0.979
0.500 0.500 0.258
0.000 0.000 0.499

---

From most stable to least stable, the computed energies give (2), (1).

---

(1)
Sc8TlAg2 | the Alexandria database | PBE-GGA | relaxed; DOS(E_F) = 15.871 states/eV per cell; total magnetic moment = 0.8 μB/f.u.
1.0
-2.388 4.116 1.569
-5.069 -2.607 -5.515
0.563 -4.035 6.805
Sc Tl Ag
8 1 2
direct
0.889 0.902 0.675
0.889 0.675 0.902
0.300 0.597 0.597
0.500 0.775 0.225
0.500 0.225 0.775
0.700 0.403 0.403
0.111 0.325 0.098
0.111 0.098 0.325
0.500 0.000 0.000
0.000 0.303 0.697
0.000 0.697 0.303

---

(2)
Sc8TlAg2 | the Alexandria database | PBE-GGA | relaxed; DOS(E_F) = 15.712 states/eV per cell; total magnetic moment = 0.0 μB/f.u.
1.0
4.550 0.000 -1.469
-1.132 6.714 -3.504
0.078 0.237 8.022
Sc Tl Ag
8 1 2
direct
0.599 0.463 0.198
0.313 0.042 0.627
0.151 0.208 0.303
0.060 0.728 0.120
0.849 0.792 0.697
0.687 0.958 0.373
0.401 0.537 0.802
0.940 0.272 0.880
0.500 0.000 0.000
0.213 0.622 0.426
0.787 0.378 0.574

---

From most stable to least stable, the computed energies give (2), (1).